[1]
# Co5H12Pd3 PBE relaxed
# - total magnetic moment (μB/atom) = 0.26
# - density (g/cm3) = 7.3
# - D(E_F) (states/eV/cell) = 140.89
# - final energy (eV per atom) = -4.392
# - calculated volume (Å³ per cell) = 1132
data_Co5H12Pd3
_cell_length_a 10.422
_cell_length_b 10.422
_cell_length_c 10.422
_cell_angle_alpha 90.00
_cell_angle_beta 90.00
_cell_angle_gamma 90.00
_symmetry_space_group_name_H-M 'I a -3 d'
_symmetry_Int_Tables_number 230
_symmetry_space_group_name_Hall '-I 4bd 2c 3'
loop_
_atom_site_label
_atom_site_fract_x
_atom_site_fract_y
_atom_site_fract_z
Co1 0.000 0.000 0.000
Co2 0.000 0.250 0.375
H1 0.023 0.060 0.647
Pd1 0.000 0.250 0.125

---

[2]
# CoHPd3 PBE relaxed
# - total magnetic moment (μB/atom) = 0.52
# - density (g/cm3) = 10.3
# - distance to the lowest polymorph of the same formula (meV per atom) = 0
# - D(E_F) (states/eV/cell) = 7.42
# - final energy (eV per atom) = -5.159
# - calculated volume (Å³ per cell) = 61
data_CoHPd3
_cell_length_a 3.939
_cell_length_b 3.939
_cell_length_c 3.939
_cell_angle_alpha 90.00
_cell_angle_beta 90.00
_cell_angle_gamma 90.00
_symmetry_space_group_name_H-M 'P m -3 m'
_symmetry_Int_Tables_number 221
_symmetry_space_group_name_Hall '-P 4 2 3'
loop_
_atom_site_label
_atom_site_fract_x
_atom_site_fract_y
_atom_site_fract_z
Co1 0.000 0.000 0.000
H1 0.500 0.500 0.500
Pd1 0.000 0.500 0.500

---

[3]
# CoH2Pd PBE relaxed
# - total magnetic moment (μB/atom) = 0.35
# - density (g/cm3) = 8.4
# - distance to the lowest polymorph of the same formula (meV per atom) = 33
# - D(E_F) (states/eV/cell) = 16.36
# - final energy (eV per atom) = -4.672
# - calculated volume (Å³ per cell) = 133
data_CoH2Pd
_cell_length_a 4.090
_cell_length_b 4.090
_cell_length_c 7.956
_cell_angle_alpha 90.00
_cell_angle_beta 90.00
_cell_angle_gamma 90.00
_symmetry_space_group_name_H-M 'I -4 2 d'
_symmetry_Int_Tables_number 122
_symmetry_space_group_name_Hall 'I -4 2bw'
loop_
_atom_site_label
_atom_site_fract_x
_atom_site_fract_y
_atom_site_fract_z
Co1 0.000 0.000 0.000
H1 0.218 0.250 0.125
Pd1 0.000 0.000 0.500

---

[4]
# CoH2Pd PBE relaxed
# - total magnetic moment (μB/atom) = 0.27
# - density (g/cm3) = 9.1
# - distance to the lowest polymorph of the same formula (meV per atom) = 0
# - D(E_F) (states/eV/cell) = 11.79
# - final energy (eV per atom) = -4.705
# - calculated volume (Å³ per cell) = 91
data_CoH2Pd
_cell_length_a 2.7720
_cell_length_b 2.7720
_cell_length_c 13.7159
_cell_angle_alpha 90.00
_cell_angle_beta 90.00
_cell_angle_gamma 120.00
_symmetry_space_group_name_H-M 'R -3 m'
_symmetry_Int_Tables_number 166
_symmetry_space_group_name_Hall '-R 3 2"'
loop_
_atom_site_label
_atom_site_fract_x
_atom_site_fract_y
_atom_site_fract_z
Co1 0.0000 0.0000 0.0000
H1 0.0000 0.0000 0.2723
Pd1 0.0000 0.0000 0.5000

---

[5]
# CoH3Pd PBE relaxed
# - total magnetic moment (μB/atom) = 0.33
# - density (g/cm3) = 7.0
# - distance to the lowest polymorph of the same formula (meV per atom) = 244
# - D(E_F) (states/eV/cell) = 6.34
# - final energy (eV per atom) = -4.111
# - calculated volume (Å³ per cell) = 40
data_CoH3Pd
_cell_length_a 3.413
_cell_length_b 3.413
_cell_length_c 3.413
_cell_angle_alpha 90.00
_cell_angle_beta 90.00
_cell_angle_gamma 90.00
_symmetry_space_group_name_H-M 'P m -3 m'
_symmetry_Int_Tables_number 221
_symmetry_space_group_name_Hall '-P 4 2 3'
loop_
_atom_site_label
_atom_site_fract_x
_atom_site_fract_y
_atom_site_fract_z
Co1 0.000 0.000 0.000
H1 0.000 0.500 0.500
Pd1 0.500 0.500 0.500

---

[6]
# CoHPd PBE relaxed
# - total magnetic moment (μB/atom) = 0.61
# - density (g/cm3) = 9.6
# - D(E_F) (states/eV/cell) = 3.77
# - final energy (eV per atom) = -5.135
# - calculated volume (Å³ per cell) = 29
data_CoHPd
_cell_length_a 2.7375
_cell_length_b 2.7375
_cell_length_c 4.4184
_cell_angle_alpha 90.00
_cell_angle_beta 90.00
_cell_angle_gamma 120.00
_symmetry_space_group_name_H-M 'P 3 m 1'
_symmetry_Int_Tables_number 156
loop_
_symmetry_equiv_pos_as_xyz
'x,y,z'
'-y,x-y,z'
'-x+y,-x,z'
'-y,-x,z'
'-x+y,y,z'
'x,x-y,z'
loop_
_atom_site_label
_atom_site_fract_x
_atom_site_fract_y
_atom_site_fract_z
Co1 0.0000 0.0000 0.0000
H1 0.6667 0.3333 0.1758
Pd1 0.3333 0.6667 0.5162

---

[7]
# CoH6Pd12 PBE relaxed
# - total magnetic moment (μB/atom) = 0.18
# - density (g/cm3) = 10.3
# - D(E_F) (states/eV/cell) = 63.57
# - final energy (eV per atom) = -4.709
# - calculated volume (Å³ per cell) = 652
data_CoH6Pd12
_cell_length_a 10.7135
_cell_length_b 10.7135
_cell_length_c 6.5597
_cell_angle_alpha 90.00
_cell_angle_beta 90.00
_cell_angle_gamma 120.00
_symmetry_space_group_name_H-M 'R -3'
_symmetry_Int_Tables_number 148
_symmetry_space_group_name_Hall '-R 3'
loop_
_atom_site_label
_atom_site_fract_x
_atom_site_fract_y
_atom_site_fract_z
Co1 0.0000 0.0000 0.0000
H1 0.0066 0.8023 0.3507
Pd1 0.0168 0.8538 0.6761
Pd2 0.0402 0.7758 0.0809

---

[8]
# CoHPd2 PBE relaxed
# - total magnetic moment (μB/atom) = 0.58
# - density (g/cm3) = 9.7
# - D(E_F) (states/eV/cell) = 25.44
# - final energy (eV per atom) = -5.026
# - calculated volume (Å³ per cell) = 188
data_CoHPd2
_cell_length_a 5.958
_cell_length_b 5.958
_cell_length_c 5.289
_cell_angle_alpha 90.00
_cell_angle_beta 90.00
_cell_angle_gamma 90.00
_symmetry_space_group_name_H-M 'I -4 2 d'
_symmetry_Int_Tables_number 122
_symmetry_space_group_name_Hall 'I -4 2bw'
loop_
_atom_site_label
_atom_site_fract_x
_atom_site_fract_y
_atom_site_fract_z
Co1 0.000 0.000 0.000
H1 0.000 0.000 0.500
Pd1 0.155 0.750 0.625

---

[9]
# CoH2Pd PBE relaxed
# - total magnetic moment (μB/atom) = 0.31
# - density (g/cm3) = 8.8
# - distance to the lowest polymorph of the same formula (meV per atom) = 36
# - D(E_F) (states/eV/cell) = 10.16
# - final energy (eV per atom) = -4.669
# - calculated volume (Å³ per cell) = 95
data_CoH2Pd
_cell_length_a 2.7249
_cell_length_b 2.7249
_cell_length_c 14.7264
_cell_angle_alpha 90.00
_cell_angle_beta 90.00
_cell_angle_gamma 120.00
_symmetry_space_group_name_H-M 'R 3 m'
_symmetry_Int_Tables_number 160
_symmetry_space_group_name_Hall 'R 3 -2"'
loop_
_atom_site_label
_atom_site_fract_x
_atom_site_fract_y
_atom_site_fract_z
Co1 0.0000 0.0000 0.0000
H1 0.0000 0.0000 0.3898
H2 0.0000 0.0000 0.6119
Pd1 0.0000 0.0000 0.1758

---

[10]
# CoHPd2 PBE relaxed
# - total magnetic moment (μB/atom) = 0.60
# - density (g/cm3) = 9.9
# - D(E_F) (states/eV/cell) = 2.01
# - final energy (eV per atom) = -5.007
# - calculated volume (Å³ per cell) = 46
data_CoHPd2
_cell_length_a 2.689
_cell_length_b 2.689
_cell_length_c 6.321
_cell_angle_alpha 90.00
_cell_angle_beta 90.00
_cell_angle_gamma 90.00
_symmetry_space_group_name_H-M 'P 4/m m m'
_symmetry_Int_Tables_number 123
_symmetry_space_group_name_Hall '-P 4 2'
loop_
_atom_site_label
_atom_site_fract_x
_atom_site_fract_y
_atom_site_fract_z
Co1 0.000 0.000 0.000
H1 0.000 0.000 0.500
Pd1 0.500 0.500 0.288

---

[11]
# CoHPd3 PBE relaxed
# - total magnetic moment (μB/atom) = 0.77
# - density (g/cm3) = 6.5
# - distance to the lowest polymorph of the same formula (meV per atom) = 1234
# - D(E_F) (states/eV/cell) = 3.33
# - final energy (eV per atom) = -3.925
# - calculated volume (Å³ per cell) = 97
data_CoHPd3
_cell_length_a 4.590
_cell_length_b 4.590
_cell_length_c 4.590
_cell_angle_alpha 90.00
_cell_angle_beta 90.00
_cell_angle_gamma 90.00
_symmetry_space_group_name_H-M 'P m -3 m'
_symmetry_Int_Tables_number 221
_symmetry_space_group_name_Hall '-P 4 2 3'
loop_
_atom_site_label
_atom_site_fract_x
_atom_site_fract_y
_atom_site_fract_z
Co1 0.000 0.000 0.000
H1 0.500 0.500 0.500
Pd1 0.000 0.000 0.500

---

[12]
# CoHPd PBE relaxed
# - total magnetic moment (μB/atom) = 0.59
# - density (g/cm3) = 9.5
# - D(E_F) (states/eV/cell) = 4.33
# - final energy (eV per atom) = -5.194
# - calculated volume (Å³ per cell) = 58
data_CoHPd
_cell_length_a 2.778
_cell_length_b 2.789
_cell_length_c 7.529
_cell_angle_alpha 90.00
_cell_angle_beta 90.21
_cell_angle_gamma 90.00
_symmetry_space_group_name_H-M 'P 1 21/m 1'
_symmetry_Int_Tables_number 11
loop_
_symmetry_equiv_pos_as_xyz
'x,y,z'
'-x,-y,-z'
'-x,y+1/2,-z'
'x,-y+1/2,z'
loop_
_atom_site_label
_atom_site_fract_x
_atom_site_fract_y
_atom_site_fract_z
Co1 0.249 0.250 0.411
H1 0.250 0.250 0.155
Pd1 0.251 0.250 0.845